1.
SiAs: optimized geometry, PBE.

abc: 2.792 2.792 4.690
angles: 90.00 90.00 109.24
Fractional positions:
As (0.000, 0.000, 0.000)
Si (0.500, 0.500, 0.500)

Output
Density of states at the Fermi level: 0.406 states/eV per atom
E_form (uncorrected): 0.51 eV/atom
Energy: -4.5242 eV per atom



2.
SiAs3: optimized geometry, PBE.

abc: 7.265 6.713 6.553
angles: 90.00 90.00 90.00
Fractional positions:
As (0.850, 0.701, 0.505)
As (0.350, 0.799, 0.495)
As (0.850, 0.701, 0.995)
As (0.625, 0.556, 0.250)
As (0.125, 0.944, 0.750)
As (0.650, 0.201, 0.505)
As (0.350, 0.799, 0.005)
As (0.150, 0.299, 0.005)
As (0.150, 0.299, 0.495)
As (0.875, 0.056, 0.250)
As (0.650, 0.201, 0.995)
As (0.375, 0.444, 0.750)
Si (0.378, 0.100, 0.250)
Si (0.878, 0.400, 0.750)
Si (0.622, 0.900, 0.750)
Si (0.122, 0.600, 0.250)

Output
Density of states at the Fermi level: 0.375 states/eV per atom
E_form (uncorrected): 0.26 eV/atom
E above lowest polymorph: 160 meV/atom
Energy: -4.5861 eV per atom